# K2Li, optimized geometry, DFT GGA-PBE
data_K2Li
_space_group_name_H-M_alt 'P 1'
_space_group_IT_number 1
_space_group_name_Hall 'P 1'
_cell_length_a 7.927
_cell_length_b 7.927
_cell_length_c 7.927
_cell_angle_alpha 60.00
_cell_angle_beta 60.00
_cell_angle_gamma 60.00
loop_
_atom_site_label
_atom_site_type_symbol
_atom_site_fract_x
_atom_site_fract_y
_atom_site_fract_z
K1 K 0.125 0.125 0.625
K2 K 0.125 0.125 0.125
K3 K 0.625 0.125 0.125
K4 K 0.125 0.625 0.125
Li1 Li 0.750 0.750 0.750
Li2 Li 0.500 0.500 0.500
# Space group: Fd-3m
# E: -6.5 eV for the cell shown
# Magnetic moment: 0.00 μB/cell
# Fermi-level density of states: 2.19 states/eV/f.u.
# Calculated formation energy: 6.56 kcal/mol of atoms

***

# Pu8Te4P3N, optimized geometry, DFT GGA-PBE
data_Pu8Te4P3N
_space_group_name_H-M_alt 'P 1'
_space_group_IT_number 1
_space_group_name_Hall 'P 1'
_cell_length_a 8.205
_cell_length_b 8.461
_cell_length_c 8.205
_cell_angle_alpha 119.01
_cell_angle_beta 120.00
_cell_angle_gamma 90.00
loop_
_atom_site_label
_atom_site_type_symbol
_atom_site_fract_x
_atom_site_fract_y
_atom_site_fract_z
P1 P 0.500 0.500 0.000
P2 P 0.500 0.500 0.500
P3 P 0.000 0.500 0.500
Te1 Te 0.000 0.000 0.500
Te2 Te 0.000 0.000 0.000
Te3 Te 0.500 0.000 0.500
Te4 Te 0.500 0.000 0.000
Pu1 Pu 0.739 0.716 0.477
Pu2 Pu 0.778 0.299 0.557
Pu3 Pu 0.778 0.300 0.021
Pu4 Pu 0.757 0.700 0.979
Pu5 Pu 0.222 0.701 0.443
Pu6 Pu 0.261 0.284 0.523
Pu7 Pu 0.243 0.300 0.021
Pu8 Pu 0.222 0.700 0.979
N1 N 0.000 0.500 0.000
# Space group: R-3m
# E: -169.2 eV for the cell shown
# Magnetic moment: 43.74 μB/cell
# Fermi-level density of states: 70.09 states/eV/f.u.
# E_form (uncorrected): -1.088 eV per atom